Record 1
# GGA-PBE NiOs2Rh, relaxed
data_NiOs2Rh
_chemical_formula_sum 'Ni2 Os4 Rh2'
_symmetry_space_group_name_H-M 'I 4/m m m'
_symmetry_Int_Tables_number 139
_symmetry_space_group_name_Hall '-I 4 2'
_cell_length_a 3.736
_cell_length_b 3.736
_cell_length_c 7.780
_cell_angle_alpha 90.00
_cell_angle_beta 90.00
_cell_angle_gamma 90.00
loop_
_atom_site_label
_atom_site_type_symbol
_atom_site_fract_x
_atom_site_fract_y
_atom_site_fract_z
Ni1 Ni 0.000 0.000 0.000
Os1 Os 0.000 0.500 0.250
Rh1 Rh 0.000 0.000 0.500
# ΔE_f   0.206 eV/atom
# M_tot   0.032 μB per atom
# Total energy   -8.692 eV/atom

Record 2
# GGA-PBE Ni4OsRh, relaxed
data_Ni4OsRh
_chemical_formula_sum 'Ni8 Os2 Rh2'
_symmetry_space_group_name_H-M 'C 1 2/m 1'
_symmetry_Int_Tables_number 12
_symmetry_space_group_name_Hall '-C 2y'
_cell_length_a 8.103
_cell_length_b 3.611
_cell_length_c 5.231
_cell_angle_alpha 90.00
_cell_angle_beta 108.71
_cell_angle_gamma 90.00
loop_
_atom_site_label
_atom_site_type_symbol
_atom_site_fract_x
_atom_site_fract_y
_atom_site_fract_z
Ni1 Ni 0.162 0.000 0.322
Ni2 Ni 0.169 0.000 0.840
Os1 Os 0.000 0.500 0.000
Rh1 Rh 0.000 0.500 0.500
# ΔE_f   0.093 eV/atom
# M_tot   0.000 μB per atom
# Total energy   -6.858 eV/atom
# Relative energy among the computed polymorphs   0.00 kcal/mol of atoms

Record 3
# GGA-PBE NiOs2Rh, relaxed
data_NiOs2Rh
_chemical_formula_sum 'Ni2 Os4 Rh2'
_symmetry_space_group_name_H-M 'C m m m'
_symmetry_Int_Tables_number 65
_symmetry_space_group_name_Hall '-C 2 2'
_cell_length_a 2.692
_cell_length_b 4.551
_cell_length_c 9.123
_cell_angle_alpha 90.00
_cell_angle_beta 90.00
_cell_angle_gamma 90.00
loop_
_atom_site_label
_atom_site_type_symbol
_atom_site_fract_x
_atom_site_fract_y
_atom_site_fract_z
Ni1 Ni 0.000 0.000 0.000
Os1 Os 0.000 0.500 0.240
Rh1 Rh 0.000 0.000 0.500
# ΔE_f   0.436 eV/atom
# M_tot   0.000 μB per atom
# Total energy   -8.462 eV/atom

Record 4
# GGA-PBE NiOs2Rh2, relaxed
data_NiOs2Rh2
_chemical_formula_sum 'Ni2 Os4 Rh4'
_symmetry_space_group_name_H-M 'P 4/m b m'
_symmetry_Int_Tables_number 127
_symmetry_space_group_name_Hall '-P 4 2ab'
_cell_length_a 7.433
_cell_length_b 7.433
_cell_length_c 2.736
_cell_angle_alpha 90.00
_cell_angle_beta 90.00
_cell_angle_gamma 90.00
loop_
_atom_site_label
_atom_site_type_symbol
_atom_site_fract_x
_atom_site_fract_y
_atom_site_fract_z
Ni1 Ni 0.000 0.000 0.000
Os1 Os 0.122 0.378 0.000
Rh1 Rh 0.173 0.673 0.500
# ΔE_f   0.508 eV/atom
# M_tot   0.000 μB per atom
# Total energy   -8.081 eV/atom
# Relative energy among the computed polymorphs   0.00 kcal/mol of atoms

Record 5
# GGA-PBE NiOs2Rh, relaxed
data_NiOs2Rh
_chemical_formula_sum 'Ni2 Os4 Rh2'
_symmetry_space_group_name_H-M 'I -4 m 2'
_symmetry_Int_Tables_number 119
_symmetry_space_group_name_Hall 'I -4 -2'
_cell_length_a 3.787
_cell_length_b 3.787
_cell_length_c 7.548
_cell_angle_alpha 90.00
_cell_angle_beta 90.00
_cell_angle_gamma 90.00
loop_
_atom_site_label
_atom_site_type_symbol
_atom_site_fract_x
_atom_site_fract_y
_atom_site_fract_z
Ni1 Ni 0.000 0.000 0.000
Os1 Os 0.000 0.000 0.500
Os2 Os 0.000 0.500 0.750
Rh1 Rh 0.000 0.500 0.250
# ΔE_f   0.143 eV/atom
# M_tot   0.000 μB per atom
# Total energy   -8.755 eV/atom

Record 6
# GGA-PBE NiOs2Rh, relaxed
data_NiOs2Rh
_chemical_formula_sum 'Ni4 Os8 Rh4'
_symmetry_space_group_name_H-M 'F -4 3 m'
_symmetry_Int_Tables_number 216
_symmetry_space_group_name_Hall 'F -4 2 3'
_cell_length_a 6.058
_cell_length_b 6.058
_cell_length_c 6.058
_cell_angle_alpha 90.00
_cell_angle_beta 90.00
_cell_angle_gamma 90.00
loop_
_atom_site_label
_atom_site_type_symbol
_atom_site_fract_x
_atom_site_fract_y
_atom_site_fract_z
Ni1 Ni 0.000 0.000 0.000
Os1 Os 0.000 0.000 0.500
Os2 Os 0.250 0.250 0.750
Rh1 Rh 0.250 0.250 0.250
# ΔE_f   0.446 eV/atom
# M_tot   0.421 μB per atom
# Total energy   -8.452 eV/atom

Record 7
# GGA-PBE NiOs2Rh, relaxed
data_NiOs2Rh
_chemical_formula_sum 'Ni1 Os2 Rh1'
_symmetry_space_group_name_H-M 'P m m m'
_symmetry_Int_Tables_number 47
_symmetry_space_group_name_Hall '-P 2 2'
_cell_length_a 2.707
_cell_length_b 4.511
_cell_length_c 4.575
_cell_angle_alpha 90.00
_cell_angle_beta 90.00
_cell_angle_gamma 90.00
loop_
_atom_site_label
_atom_site_type_symbol
_atom_site_fract_x
_atom_site_fract_y
_atom_site_fract_z
Ni1 Ni 0.000 0.000 0.000
Os1 Os 0.000 0.500 0.500
Os2 Os 0.500 0.000 0.500
Rh1 Rh 0.500 0.500 0.000
# ΔE_f   0.436 eV/atom
# M_tot   0.105 μB per atom
# Total energy   -8.462 eV/atom

Record 8
# GGA-PBE NiOs2Rh, relaxed
data_NiOs2Rh
_chemical_formula_sum 'Ni3 Os6 Rh3'
_symmetry_space_group_name_H-M 'R 3 m'
_symmetry_Int_Tables_number 160
_symmetry_space_group_name_Hall 'R 3 -2"'
_cell_length_a 2.7107
_cell_length_b 2.7107
_cell_length_c 25.8747
_cell_angle_alpha 90.00
_cell_angle_beta 90.00
_cell_angle_gamma 120.00
loop_
_atom_site_label
_atom_site_type_symbol
_atom_site_fract_x
_atom_site_fract_y
_atom_site_fract_z
Ni1 Ni 0.0000 0.0000 0.0000
Os1 Os 0.0000 0.0000 0.4983
Os2 Os 0.0000 0.0000 0.7480
Rh1 Rh 0.0000 0.0000 0.2505
# ΔE_f   0.139 eV/atom
# M_tot   0.001 μB per atom
# Total energy   -8.759 eV/atom

Record 9
# GGA-PBE NiOs2Rh, relaxed
data_NiOs2Rh
_chemical_formula_sum 'Ni1 Os2 Rh1'
_symmetry_space_group_name_H-M 'P 4/m m m'
_symmetry_Int_Tables_number 123
_symmetry_space_group_name_Hall '-P 4 2'
_cell_length_a 3.758
_cell_length_b 3.758
_cell_length_c 3.846
_cell_angle_alpha 90.00
_cell_angle_beta 90.00
_cell_angle_gamma 90.00
loop_
_atom_site_label
_atom_site_type_symbol
_atom_site_fract_x
_atom_site_fract_y
_atom_site_fract_z
Ni1 Ni 0.000 0.000 0.000
Os1 Os 0.000 0.500 0.500
Rh1 Rh 0.500 0.500 0.000
# ΔE_f   0.235 eV/atom
# M_tot   0.000 μB per atom
# Total energy   -8.663 eV/atom

Record 10
# GGA-PBE NiOs2Rh6, relaxed
data_NiOs2Rh6
_chemical_formula_sum 'Ni2 Os4 Rh12'
_symmetry_space_group_name_H-M 'C 1 2/m 1'
_symmetry_Int_Tables_number 12
_symmetry_space_group_name_Hall '-C 2y'
_cell_length_a 9.724
_cell_length_b 4.586
_cell_length_c 7.146
_cell_angle_alpha 90.00
_cell_angle_beta 126.02
_cell_angle_gamma 90.00
loop_
_atom_site_label
_atom_site_type_symbol
_atom_site_fract_x
_atom_site_fract_y
_atom_site_fract_z
Ni1 Ni 0.000 0.000 0.000
Os1 Os 0.067 0.500 0.228
Rh1 Rh 0.103 0.000 0.428
Rh2 Rh 0.164 0.500 0.667
Rh3 Rh 0.238 0.000 0.900
# ΔE_f   0.301 eV/atom
# M_tot   0.000 μB per atom
# Total energy   -7.738 eV/atom
# Relative energy among the computed polymorphs   6.61 kcal/mol of atoms

Record 11
# GGA-PBE Ni5OsRh4, relaxed
data_Ni5OsRh4
_chemical_formula_sum 'Ni10 Os2 Rh8'
_symmetry_space_group_name_H-M 'C 1 2/m 1'
_symmetry_Int_Tables_number 12
_symmetry_space_group_name_Hall '-C 2y'
_cell_length_a 13.428
_cell_length_b 3.739
_cell_length_c 5.171
_cell_angle_alpha 90.00
_cell_angle_beta 102.23
_cell_angle_gamma 90.00
loop_
_atom_site_label
_atom_site_type_symbol
_atom_site_fract_x
_atom_site_fract_y
_atom_site_fract_z
Ni1 Ni 0.000 0.000 0.000
Ni2 Ni 0.097 0.500 0.306
Ni3 Ni 0.201 0.000 0.104
Os1 Os 0.000 0.000 0.500
Rh1 Rh 0.099 0.500 0.810
Rh2 Rh 0.200 0.000 0.603
# ΔE_f   0.061 eV/atom
# M_tot   0.214 μB per atom
# Total energy   -6.893 eV/atom

Record 12
# GGA-PBE NiOs2Rh, relaxed
data_NiOs2Rh
_chemical_formula_sum 'Ni2 Os4 Rh2'
_symmetry_space_group_name_H-M 'I m m 2'
_symmetry_Int_Tables_number 44
_symmetry_space_group_name_Hall 'I 2 -2'
_cell_length_a 2.791
_cell_length_b 4.379
_cell_length_c 8.898
_cell_angle_alpha 90.00
_cell_angle_beta 90.00
_cell_angle_gamma 90.00
loop_
_atom_site_label
_atom_site_type_symbol
_atom_site_fract_x
_atom_site_fract_y
_atom_site_fract_z
Ni1 Ni 0.000 0.000 0.000
Os1 Os 0.000 0.000 0.488
Os2 Os 0.000 0.500 0.726
Rh1 Rh 0.000 0.500 0.268
# ΔE_f   0.344 eV/atom
# M_tot   0.000 μB per atom
# Total energy   -8.554 eV/atom

Record 13
# GGA-PBE Ni2OsRh5, relaxed
data_Ni2OsRh5
_chemical_formula_sum 'Ni8 Os4 Rh20'
_symmetry_space_group_name_H-M 'I 4/m c m'
_symmetry_Int_Tables_number 140
_symmetry_space_group_name_Hall '-I 4 2c'
_cell_length_a 6.387
_cell_length_b 6.387
_cell_length_c 10.851
_cell_angle_alpha 90.00
_cell_angle_beta 90.00
_cell_angle_gamma 90.00
loop_
_atom_site_label
_atom_site_type_symbol
_atom_site_fract_x
_atom_site_fract_y
_atom_site_fract_z
Ni1 Ni 0.136 0.364 0.000
Os1 Os 0.000 0.000 0.250
Rh1 Rh 0.000 0.000 0.000
Rh2 Rh 0.156 0.344 0.342
# ΔE_f   0.200 eV/atom
# M_tot   0.000 μB per atom
# Total energy   -7.244 eV/atom

Record 14
# GGA-PBE NiOsRh5, relaxed
data_NiOsRh5
_chemical_formula_sum 'Ni2 Os2 Rh10'
_symmetry_space_group_name_H-M 'I -4 m 2'
_symmetry_Int_Tables_number 119
_symmetry_space_group_name_Hall 'I -4 -2'
_cell_length_a 7.759
_cell_length_b 7.759
_cell_length_c 4.464
_cell_angle_alpha 90.00
_cell_angle_beta 90.00
_cell_angle_gamma 90.00
loop_
_atom_site_label
_atom_site_type_symbol
_atom_site_fract_x
_atom_site_fract_y
_atom_site_fract_z
Ni1 Ni 0.000 0.000 0.000
Os1 Os 0.000 0.500 0.750
Rh1 Rh 0.000 0.000 0.500
Rh2 Rh 0.000 0.283 0.207
# ΔE_f   1.198 eV/atom
# M_tot   0.270 μB per atom
# Total energy   -6.484 eV/atom

Record 15
# GGA-PBE NiOs2Rh, relaxed
data_NiOs2Rh
_chemical_formula_sum 'Ni2 Os4 Rh2'
_symmetry_space_group_name_H-M 'C m m 2'
_symmetry_Int_Tables_number 35
_symmetry_space_group_name_Hall 'C 2 -2'
_cell_length_a 2.719
_cell_length_b 4.556
_cell_length_c 9.051
_cell_angle_alpha 90.00
_cell_angle_beta 90.00
_cell_angle_gamma 90.00
loop_
_atom_site_label
_atom_site_type_symbol
_atom_site_fract_x
_atom_site_fract_y
_atom_site_fract_z
Ni1 Ni 0.000 0.000 0.000
Os1 Os 0.000 0.000 0.502
Os2 Os 0.000 0.500 0.761
Rh1 Rh 0.000 0.500 0.244
# ΔE_f   0.455 eV/atom
# M_tot   0.028 μB per atom
# Total energy   -8.443 eV/atom

Record 16
# GGA-PBE NiOs2Rh, relaxed
data_NiOs2Rh
_chemical_formula_sum 'Ni1 Os2 Rh1'
_symmetry_space_group_name_H-M 'P 4/m m m'
_symmetry_Int_Tables_number 123
_symmetry_space_group_name_Hall '-P 4 2'
_cell_length_a 4.508
_cell_length_b 4.508
_cell_length_c 2.715
_cell_angle_alpha 90.00
_cell_angle_beta 90.00
_cell_angle_gamma 90.00
loop_
_atom_site_label
_atom_site_type_symbol
_atom_site_fract_x
_atom_site_fract_y
_atom_site_fract_z
Ni1 Ni 0.000 0.000 0.000
Os1 Os 0.000 0.500 0.500
Rh1 Rh 0.500 0.500 0.000
# ΔE_f   0.498 eV/atom
# M_tot   0.001 μB per atom
# Total energy   -8.400 eV/atom

Record 17
# GGA-PBE Ni2OsRh6, relaxed
data_Ni2OsRh6
_chemical_formula_sum 'Ni4 Os2 Rh12'
_symmetry_space_group_name_H-M 'I m m m'
_symmetry_Int_Tables_number 71
_symmetry_space_group_name_Hall '-I 2 2'
_cell_length_a 2.665
_cell_length_b 7.203
_cell_length_c 13.113
_cell_angle_alpha 90.00
_cell_angle_beta 90.00
_cell_angle_gamma 90.00
loop_
_atom_site_label
_atom_site_type_symbol
_atom_site_fract_x
_atom_site_fract_y
_atom_site_fract_z
Ni1 Ni 0.000 0.000 0.147
Os1 Os 0.000 0.500 0.000
Rh1 Rh 0.000 0.176 0.326
Rh2 Rh 0.000 0.324 0.500
# ΔE_f   0.239 eV/atom
# M_tot   0.001 μB per atom
# Total energy   -7.195 eV/atom
# Relative energy among the computed polymorphs   0.00 kcal/mol of atoms

Record 18
# GGA-PBE Ni23OsRh6, relaxed
data_Ni23OsRh6
_chemical_formula_sum 'Ni92 Os4 Rh24'
_symmetry_space_group_name_H-M 'F m -3 m'
_symmetry_Int_Tables_number 225
_symmetry_space_group_name_Hall '-F 4 2 3'
_cell_length_a 11.290
_cell_length_b 11.290
_cell_length_c 11.290
_cell_angle_alpha 90.00
_cell_angle_beta 90.00
_cell_angle_gamma 90.00
loop_
_atom_site_label
_atom_site_type_symbol
_atom_site_fract_x
_atom_site_fract_y
_atom_site_fract_z
Ni1 Ni 0.000 0.000 0.000
Ni2 Ni 0.000 0.250 0.250
Ni3 Ni 0.121 0.121 0.121
Ni4 Ni 0.166 0.166 0.334
Os1 Os 0.000 0.000 0.500
Rh1 Rh 0.000 0.000 0.277
# ΔE_f   0.164 eV/atom
# M_tot   0.523 μB per atom
# Total energy   -6.112 eV/atom

Record 19
# GGA-PBE NiOs3Rh, relaxed
data_NiOs3Rh
_chemical_formula_sum 'Ni1 Os3 Rh1'
_symmetry_space_group_name_H-M 'P m -3 m'
_symmetry_Int_Tables_number 221
_symmetry_space_group_name_Hall '-P 4 2 3'
_cell_length_a 4.357
_cell_length_b 4.357
_cell_length_c 4.357
_cell_angle_alpha 90.00
_cell_angle_beta 90.00
_cell_angle_gamma 90.00
loop_
_atom_site_label
_atom_site_type_symbol
_atom_site_fract_x
_atom_site_fract_y
_atom_site_fract_z
Ni1 Ni 0.000 0.000 0.000
Os1 Os 0.000 0.000 0.500
Rh1 Rh 0.500 0.500 0.500
# ΔE_f   1.916 eV/atom
# M_tot   0.000 μB per atom
# Total energy   -7.449 eV/atom
# Relative energy among the computed polymorphs   0.00 kcal/mol of atoms

Record 20
# GGA-PBE NiOs2Rh, relaxed
data_NiOs2Rh
_chemical_formula_sum 'Ni2 Os4 Rh2'
_symmetry_space_group_name_H-M 'C 1 2/m 1'
_symmetry_Int_Tables_number 12
_symmetry_space_group_name_Hall '-C 2y'
_cell_length_a 8.871
_cell_length_b 2.693
_cell_length_c 4.632
_cell_angle_alpha 90.00
_cell_angle_beta 100.28
_cell_angle_gamma 90.00
loop_
_atom_site_label
_atom_site_type_symbol
_atom_site_fract_x
_atom_site_fract_y
_atom_site_fract_z
Ni1 Ni 0.000 0.000 0.000
Os1 Os 0.249 0.500 0.244
Rh1 Rh 0.000 0.500 0.500
# ΔE_f   0.150 eV/atom
# M_tot   0.001 μB per atom
# Total energy   -8.748 eV/atom